(1)
A geometry-optimized CePrTmPb structure. Source: Alexandria, functional PBE-GGA.

Cell: 5.5049 5.5049 5.5049 Å, 60.00 60.00 60.00°
With the nearest neighbours (Å) after each atom.
Element x y z (fractional)
1 Tm 0.0000 0.0000 0.0000  4 Ce 3.37, 4 Pb 3.37
2 Ce 0.7500 0.7500 0.7500  4 Pr 3.37, 4 Tm 3.37
3 Pb 0.2500 0.2500 0.2500  4 Tm 3.37, 4 Pr 3.37
4 Pr 0.5000 0.5000 0.5000  4 Pb 3.37, 4 Ce 3.37

(2)
A geometry-optimized CePrYPb structure. Source: Alexandria, functional PBE-GGA.

Cell: 5.5361 5.5361 5.5361 Å, 60.00 60.00 60.00°
With the nearest neighbours (Å) after each atom.
Element x y z (fractional)
1 Pr 0.0000 0.0000 0.0000  4 Pb 3.39, 4 Ce 3.39
2 Pb 0.7500 0.7500 0.7500  4 Pr 3.39, 4 Y 3.39
3 Ce 0.2500 0.2500 0.2500  4 Pr 3.39, 4 Y 3.39
4 Y 0.5000 0.5000 0.5000  4 Ce 3.39, 4 Pb 3.39

| no. | energy of formation from the pure elements (eV per atom) |
| --- | --- |
| 1 | -0.054 |
| 2 | -0.082 |